The following is a PBE calculation of CoSiW after structural relaxation, from Alexandria.

a = 7.583 Å, b = 4.844 Å, c = 8.092 Å
α = 90.00°, β = 90.00°, γ = 90.00°
Space group Amm2 (No. 38)
Unique sites:
Co 0.000 0.000 0.000
Co 0.000 0.240 0.242
Co 0.500 0.000 0.685
Si 0.232 0.000 0.823
Si 0.500 0.242 0.430
W 0.182 0.000 0.493
W 0.311 0.000 0.166

## Properties
DOS at the Fermi energy (states/eV per cell): 14.25
Raw total energy (eV/atom): -8.80
Formation energy from raw total energies (eV per atom): -0.31